First-principles (PBE) data for LaBeSeO2 after structural relaxation, as listed in the Alexandria database.

Its total energy is -5.273 eV per atom. The density of states at the Fermi level comes out at 0.1767 states/eV/atom. As for the uncorrected formation energy: -862 meV per atom. The calculated volume comes out at 18.2 Å³ per atom. Its total magnetic moment is 1.0 μB per cell.

It has space group P4/mmm (No. 123), with a = 3.868 Å, b = 3.868 Å, c = 6.079 Å, α = 90.00°, β = 90.00° and γ = 90.00°. The inequivalent atoms are La at (0.000, 0.000, 0.000), Be at (0.000, 0.000, 0.500), Se at (0.500, 0.500, 0.000) and O at (0.000, 0.500, 0.500).